CaFe3B4O12 after structural relaxation, computed with PBE with a Hubbard U.

Lattice parameters (Å, degrees): 5.9992 5.9992 5.9992 104.22 104.22 104.22
Each line ends with the local moment (μB).
Fractional positions:
Fe  0.5566  0.4434  0.0000  1.27
O  0.6467  0.5000  0.3533  0.00
O  0.6223  0.7768  0.0236  0.02
O  0.0236  0.6223  0.7768  0.02
B  0.9398  0.0602  0.5000  0.00
O  0.5000  0.0882  0.9118  -0.02
O  0.3777  0.9764  0.2232  0.02
O  0.5000  0.3533  0.6467  0.00
O  0.3533  0.6467  0.5000  0.00
Ca  0.0000  0.0000  0.0000  0.00
B  0.0602  0.5000  0.9398  0.00
O  0.9764  0.2232  0.3777  0.02
Fe  0.4434  0.0000  0.5566  1.27
O  0.0882  0.9118  0.5000  -0.02
O  0.2232  0.3777  0.9764  0.02
Fe  0.0000  0.5566  0.4434  1.27
O  0.7768  0.0236  0.6223  0.02
B  0.5000  0.5000  0.5000  0.00
O  0.9118  0.5000  0.0882  -0.02
B  0.5000  0.9398  0.0602  0.00

Properties
symmetry	R32, No. 155
electronic total energy	-141.23	eV for the cell shown
mass density	3833	kg/m3
total moment	4.0	μB per formula unit